(1)
This record from Alexandria via LeMat-Bulk describes Zr2ReCl after structural relaxation. The functional is PBE.

Total magnetic moment (μB/cell): 0.0
Crystal system: tetragonal
Energy above the most stable polymorph in this dataset (meV/atom): 818
Energy relative to the elements, uncorrected (eV per atom): 0.18
DFT total energy (eV/atom): -7.66
Calculated volume (Å³/atom): 18.95

Cell lengths 3.8228, 3.8228, 10.3730 Å; angles 90.00, 90.00, 90.00 degrees
With the nearest neighbours (Å) after each atom.
Space group I-4m2 (No. 119)
Unique sites:
Zr  0.0000  0.0000  0.0000 x2  4 Re 2.70
Zr  0.0000  0.5000  0.2500 x2  4 Cl 2.70
Re  0.0000  0.0000  0.5000 x2  4 Zr 2.70
Cl  0.0000  0.5000  0.7500 x2  4 Zr 2.70

***

(2)
This record from Alexandria via LeMat-Bulk describes VCuRuAu2 after structural relaxation. The functional is PBE.

Total magnetic moment (μB/cell): 0.0
Energy of formation from the pure elements (eV/atom): 1.08
Crystal system: tetragonal
DFT total energy (eV/atom): -4.73
Calculated volume (Å³/atom): 20.57

Cell lengths 4.9022, 4.9022, 4.2803 Å; angles 90.00, 90.00, 90.00 degrees
With the nearest neighbours (Å) after each atom.
Space group P4/mmm (No. 123)
Unique sites:
V  0.0000  0.0000  0.0000 x1  2 Ru 2.14
Cu  0.5000  0.5000  0.5000 x1  8 Au 3.25, 4 Ru 3.47
Ru  0.0000  0.0000  0.5000 x1  2 V 2.14
Au  0.0000  0.5000  0.0000 x2  2 V 2.45

***

Q: calculated volume of number 2 (VCuRuAu2)?
A: 20.57 Å³/atom

***

Q: total magnetic moment of number 1 (Zr2ReCl)?
A: 0.0 μB/cell

***

Q: Among the records above, which one has the lowest DFT total energy?
A: Zr2ReCl

***

Q: Which formula does entry 2 have?
A: VCuRuAu2